*one*
PBE-GGA NbSnNF2, optimized geometry; theoretical density = 5.6 g/cm³; space-group type = No. 123; D(E_F) = 5.169 states/eV/f.u.
1.0
4.3079 0.0000 0.0000
0.0000 4.3079 0.0000
0.0000 0.0000 4.2425
N F Sn Nb
1 2 1 1
direct
0.0000 0.0000 0.5000 N
0.0000 0.5000 0.0000 F
0.5000 0.0000 0.0000 F
0.0000 0.0000 0.0000 Sn
0.5000 0.5000 0.5000 Nb

=====

*two*
PBE-GGA NbSnNF2, optimized geometry; theoretical density = 5.7 g/cm³; space-group type = No. 123; D(E_F) = 2.698 states/eV/f.u.
1.0
4.3552 0.0000 0.0000
0.0000 4.3552 0.0000
0.0000 0.0000 4.0822
N Nb F Sn
1 1 2 1
direct
0.0000 0.0000 0.5000 N
0.0000 0.0000 0.0000 Nb
0.5000 0.0000 0.0000 F
0.0000 0.5000 0.0000 F
0.5000 0.5000 0.5000 Sn

=====

Quick look at relative energies in eV/atom: *one* 0.977; *two* 0.000.

=====

*one*
PBE-GGA TaNbN2F, optimized geometry; theoretical density = 8.1 g/cm³; space-group type = No. 123; D(E_F) = 2.766 states/eV/f.u.
1.0
4.1025 0.0000 0.0000
0.0000 4.1025 0.0000
0.0000 0.0000 3.9195
F N Nb Ta
1 2 1 1
direct
0.0000 0.0000 0.5000 F
0.0000 0.5000 0.0000 N
0.5000 0.0000 0.0000 N
0.5000 0.5000 0.5000 Nb
0.0000 0.0000 0.0000 Ta

=====

*two*
PBE-GGA TaNbN2F, optimized geometry; theoretical density = 8.0 g/cm³; space-group type = No. 123; D(E_F) = 3.696 states/eV/f.u.
1.0
4.1186 0.0000 0.0000
0.0000 4.1186 0.0000
0.0000 0.0000 3.9156
Ta N Nb F
1 2 1 1
direct
0.5000 0.5000 0.5000 Ta
0.5000 0.0000 0.0000 N
0.0000 0.5000 0.0000 N
0.0000 0.0000 0.0000 Nb
0.0000 0.0000 0.5000 F

=====

Quick look at relative energies in eV/atom: *one* 0.000; *two* 0.410.

=====

*one*
PBE-GGA NbTcN2F, optimized geometry; theoretical density = 6.6 g/cm³; space-group type = No. 123; D(E_F) = 4.081 states/eV/f.u.
1.0
-1.7018 2.8517 2.0731
-3.3771 -1.9795 -0.0493
1.0115 -1.8081 3.3176
N Nb F Tc
2 1 1 1
direct
0.0000 0.5000 0.0000 N
0.5000 0.0000 0.0000 N
0.5000 0.5000 0.5000 Nb
0.0000 0.0000 0.5000 F
0.0000 0.0000 0.0000 Tc

=====

*two*
PBE-GGA NbTcN2F, optimized geometry; theoretical density = 5.8 g/cm³; space-group type = No. 123; D(E_F) = 1.467 states/eV/f.u.
1.0
-2.8205 -2.3930 1.7973
-1.1676 -1.3942 -3.6885
2.7113 -2.9911 0.2723
N Tc F Nb
2 1 1 1
direct
0.5000 0.0000 0.0000 N
0.0000 0.5000 0.0000 N
0.5000 0.5000 0.5000 Tc
0.0000 0.0000 0.5000 F
0.0000 0.0000 0.0000 Nb

=====

Quick look at relative energies in eV/atom: *one* 0.193; *two* 0.000.

=====

*one*
PBE-GGA NbTlNF2, optimized geometry; theoretical density = 6.9 g/cm³; space-group type = No. 123; D(E_F) = 6.683 states/eV/f.u.
1.0
4.4378 0.0000 0.0000
0.0000 4.4378 0.0000
0.0000 0.0000 4.2777
Tl F Nb N
1 2 1 1
direct
0.0000 0.0000 0.0000 Tl
0.5000 0.0000 0.0000 F
0.0000 0.5000 0.0000 F
0.5000 0.5000 0.5000 Nb
0.0000 0.0000 0.5000 N

=====

*two*
PBE-GGA NbTlNF2, optimized geometry; theoretical density = 7.4 g/cm³; space-group type = No. 123; D(E_F) = 0.908 states/eV/f.u.
1.0
4.4061 0.0000 0.0000
0.0000 4.4061 0.0000
0.0000 0.0000 4.0516
F N Tl Nb
2 1 1 1
direct
0.5000 0.0000 0.0000 F
0.0000 0.5000 0.0000 F
0.0000 0.0000 0.5000 N
0.5000 0.5000 0.5000 Tl
0.0000 0.0000 0.0000 Nb

=====

Quick look at relative energies in eV/atom: *one* 1.651; *two* 0.000.

=====

*one*
PBE-GGA NbTlN2F, optimized geometry; theoretical density = 7.4 g/cm³; space-group type = No. 123; D(E_F) = 3.945 states/eV/f.u.
1.0
-3.3319 2.2527 1.4420
-0.1203 -2.4273 3.5142
2.6507 2.6784 1.9407
F Nb Tl N
1 1 1 2
direct
0.0000 0.0000 0.5000 F
0.5000 0.5000 0.5000 Nb
0.0000 0.0000 0.0000 Tl
0.5000 0.0000 0.0000 N
0.0000 0.5000 0.0000 N

=====

*two*
PBE-GGA NbTlN2F, optimized geometry; theoretical density = 7.7 g/cm³; space-group type = No. 123; D(E_F) = 2.138 states/eV/f.u.
1.0
-1.6537 1.8686 3.2922
-3.4831 -2.1581 -0.5247
1.5578 -3.1375 2.5633
Tl N F Nb
1 2 1 1
direct
0.5000 0.5000 0.5000 Tl
0.0000 0.5000 0.0000 N
0.5000 0.0000 0.0000 N
0.0000 0.0000 0.5000 F
0.0000 0.0000 0.0000 Nb

=====

Quick look at relative energies in eV/atom: *one* 1.791; *two* 0.000.